Density functional theory data (PBE) for a relaxed AsP2NCl crystal.

- raw formation energy (eV per atom) = 1.123
- Fermi-level density of states (states/eV per cell) = 2.97
- space group = P4/mmm, No. 123
- volume (A^3/atom) = 15.13
- E (eV/cell) = -20.0

Cell lengths 4.279, 4.279, 4.132 Å; angles 90.00, 90.00, 90.00 degrees
Sites, in units of the cell vectors:
P  0.000  0.500  0.000
P  0.500  0.000  0.000
As  0.500  0.500  0.500
N  0.000  0.000  0.000
Cl  0.000  0.000  0.500